No. 1
BeCo2Os after structural relaxation. Source: Alexandria via LeMat-Bulk, functional GGA-PBE.

For the formation energy, the calculation gives 0.433 eV/atom. The volume comes out at 11.7 A^3/atom.

It has space group I-42d (No. 122), with a = 3.3001 Å, b = 3.3001 Å, c = 17.2320 Å, α = 90.00°, β = 90.00° and γ = 90.00°. The distinct sites, in fractional coordinates, are Be at (0.0000, 0.0000, 0.0000), Co at (0.2259, 0.2500, 0.1250) and Os at (0.0000, 0.0000, 0.5000).

---

No. 2
AcTl2Ga after structural relaxation. Source: Alexandria via LeMat-Bulk, functional GGA-PBE.

For the formation energy, the calculation gives -0.156 eV/atom. The volume comes out at 29.4 A^3/atom.

It has space group P4/mmm (No. 123), with a = 3.9656 Å, b = 3.9656 Å, c = 7.4687 Å, α = 90.00°, β = 90.00° and γ = 90.00°. The distinct sites, in fractional coordinates, are Ac at (0.0000, 0.0000, 0.0000), Tl at (0.5000, 0.5000, 0.2910) and Ga at (0.0000, 0.0000, 0.5000).

---

No. 3
LaPmNdAl after structural relaxation. Source: Alexandria via LeMat-Bulk, functional GGA-PBE.

For the formation energy, the calculation gives -0.037 eV/atom. The volume comes out at 30.1 A^3/atom.

It has space group F-43m (No. 216), with a = 7.8376 Å, b = 7.8376 Å, c = 7.8376 Å, α = 90.00°, β = 90.00° and γ = 90.00°. The distinct sites, in fractional coordinates, are La at (0.0000, 0.0000, 0.0000), Pm at (0.2500, 0.2500, 0.7500), Nd at (0.0000, 0.0000, 0.5000) and Al at (0.2500, 0.2500, 0.2500).

---

No. 4
Ba2YRu after structural relaxation. Source: Alexandria via LeMat-Bulk, functional GGA-PBE.

For the formation energy, the calculation gives 0.653 eV/atom. The volume comes out at 35.6 A^3/atom.

It has space group R-3m (No. 166, hexagonal axes), with a = 3.8463 Å, b = 3.8463 Å, c = 33.3771 Å, α = 90.00°, β = 90.00° and γ = 120.00°. The distinct sites, in fractional coordinates, are Ba at (0.0000, 0.0000, 0.2300), Y at (0.0000, 0.0000, 0.0000) and Ru at (0.0000, 0.0000, 0.5000).

---

Number 1: N(E_F) 15.088 states/eV/cell, M_tot 11.78 μB per cell. Number 2: N(E_F) 3.184 states/eV/cell, M_tot 0.00 μB per cell. Number 3: N(E_F) 30.224 states/eV/cell, M_tot 0.00 μB per cell. Number 4: N(E_F) 21.067 states/eV/cell, M_tot 1.29 μB per cell.